# LiVW2, relaxed, DFT PBE
# Calculated volume ... 15.16 Å³/atom
# ΔE_f ... 0.97 eV/atom
data_LiVW2
_chemical_formula_sum 'Li4 V4 W8'
_symmetry_space_group_name_H-M 'I -4 2 d'
_symmetry_Int_Tables_number 122
_symmetry_space_group_name_Hall 'I -4 2bw'
_cell_length_a 6.800
_cell_length_b 6.800
_cell_length_c 5.245
_cell_angle_alpha 90.00
_cell_angle_beta 90.00
_cell_angle_gamma 90.00
loop_
_atom_site_label
_atom_site_type_symbol
_atom_site_fract_x
_atom_site_fract_y
_atom_site_fract_z
Li1 Li 0.000 0.000 0.000
V1 V 0.000 0.000 0.500
W1 W 0.244 0.750 0.125